DFT (PBE) results for a relaxed ReSnTe2 crystal.

Cell and atoms, written as POSCAR:
```
ReSnTe2
1.0
3.461 0.000 0.000
-1.731 2.997 0.000
0.000 0.000 30.789
Re Sn Te
3 3 6
Cartesian
0.000 0.000 0.000 Re
0.000 1.998 20.526 Re
1.731 0.999 10.263 Re
0.000 0.000 15.395 Sn
0.000 1.998 5.132 Sn
1.731 0.999 25.658 Sn
0.000 0.000 12.122 Te
0.000 0.000 18.668 Te
0.000 1.998 1.858 Te
0.000 1.998 8.405 Te
1.731 0.999 22.385 Te
1.731 0.999 28.931 Te
```

Uncorrected formation energy in eV per atom: 0.332
Energy in eV/atom: -5.35
SG: No. 166